Record 1
Ac2NpTl2S6: relaxed, PBE.

## Properties
**Formation energy (no corrections)**: -15.56 eV per formula unit
**E_tot**: -6.019 eV per atom

Unit cell a=7.4510 b=7.4510 c=7.8183 alpha=99.19 beta=99.19 gamma=119.38
With the nearest neighbours (Å) after each atom.
Atoms (fractional coordinates):
1 S 0.3729 0.0624 0.6970  1 Np 2.73, 2 Ac 2.96-2.99
2 S 0.0624 0.3729 0.6970  1 Np 2.73, 2 Ac 2.96-2.99
3 S 0.2324 0.2324 0.2955  1 Np 2.72, 2 Ac 3.02
4 S 0.6271 0.9376 0.3030  1 Np 2.73, 2 Ac 2.96-2.99
5 S 0.9376 0.6271 0.3030  1 Np 2.73, 2 Ac 2.96-2.99
6 S 0.7676 0.7676 0.7045  1 Np 2.72, 2 Ac 3.02
7 Np 0.0000 0.0000 0.5000  6 S 2.72-2.73
8 Ac 0.3345 0.6655 0.5000  6 S 2.96-3.02
9 Ac 0.6655 0.3345 0.5000  6 S 2.96-3.02
10 Tl 0.8345 0.1655 0.0000  6 S 3.22-3.50
11 Tl 0.1655 0.8345 0.0000  6 S 3.22-3.50

Record 2
Sr3CdHg2: relaxed, PBE.

## Properties
**ΔH_f (0 K)**: -0.464 eV/atom
**E_tot**: -1.558 eV per atom

Unit cell a=4.0354 b=4.0354 c=11.9873 alpha=90.00 beta=90.00 gamma=90.00
With the nearest neighbours (Å) after each atom.
Atoms (fractional coordinates):
1 Sr 0.0000 0.0000 0.6708  4 Hg 3.45, 4 Cd 3.51
2 Sr 0.0000 0.0000 0.3292  4 Hg 3.45, 4 Cd 3.51
3 Sr 0.0000 0.0000 0.0000  8 Hg 3.48
4 Cd 0.5000 0.5000 0.5000  8 Sr 3.51
5 Hg 0.5000 0.5000 0.1668  8 Sr 3.45-3.48
6 Hg 0.5000 0.5000 0.8332  8 Sr 3.45-3.48

Record 3
KMg2TiCl8: relaxed, PBE.

## Properties
**Formation energy (no corrections)**: -20.52 eV per formula unit
**E_tot**: -3.956 eV per atom

Unit cell a=6.2932 b=6.2933 c=8.6758 alpha=79.10 beta=79.24 gamma=77.62
With the nearest neighbours (Å) after each atom.
Atoms (fractional coordinates):
1 Cl 0.6665 0.6726 0.4903  2 Mg 2.40-2.56
2 Cl 0.1955 0.7541 0.2096  1 Mg 2.44, 1 Ti 2.48
3 Cl 0.7482 0.7553 0.0354  1 Ti 2.38, 1 Mg 2.53
4 Cl 0.2518 0.2447 0.9646  1 Ti 2.38, 1 Mg 2.53
5 Cl 0.7595 0.1998 0.2083  1 Mg 2.44, 1 Ti 2.48
6 Cl 0.2405 0.8002 0.7917  1 Mg 2.44, 1 Ti 2.48
7 Cl 0.3335 0.3274 0.5097  2 Mg 2.40-2.56
8 Cl 0.8045 0.2459 0.7904  1 Mg 2.44, 1 Ti 2.48
9 Ti 0.0000 0.0000 0.0000  6 Cl 2.38-2.48
10 K 0.0000 0.0000 0.5000  6 Cl 3.11-3.26
11 Mg 0.5496 0.5505 0.2799  5 Cl 2.40-2.56
12 Mg 0.4504 0.4495 0.7201  5 Cl 2.40-2.56

Record 4
ErAgTe2: relaxed, PBE.

## Properties
**Formation energy (no corrections)**: -3.25 eV per formula unit
**E_tot**: -4.237 eV per atom

Unit cell a=4.4839 b=4.4839 c=8.9741 alpha=75.53 beta=75.53 gamma=60.00
With the nearest neighbours (Å) after each atom.
Atoms (fractional coordinates):
1 Te 0.8973 0.8973 0.3081  1 Ag 2.65
2 Te 0.1027 0.1027 0.6919  1 Ag 2.65
3 Ag 0.0000 0.0000 0.0000  2 Te 2.65
4 Er 0.5000 0.5000 0.5000  6 Te 3.07